First-principles (GGA+U) data for a relaxed LiCr4Hg2O8 crystal, as listed in Alexandria.

Calculated volume, Å³/cell: 358.56
E_tot, eV per atom: -6.24
ΔE to the lowest computed polymorph, meV per atom: 0

a = 10.616 Å, b = 6.072 Å, c = 6.721 Å
α = 90.00°, β = 124.14°, γ = 90.00°
Space group Cm (No. 8)
Symmetry-distinct sites (fractional):
Li 0.000 0.000 0.000 x2
Cr 0.023 0.500 0.007 x2
Cr 0.029 0.500 0.506 x2
Cr 0.273 0.250 0.005 x4
Hg 0.191 0.000 0.452 x2
Hg 0.387 0.500 0.556 x2
O 0.006 0.267 0.207 x4
O 0.043 0.270 0.805 x4
O 0.250 0.500 0.177 x2
O 0.263 0.500 0.789 x2
O 0.293 0.000 0.230 x2
O 0.294 0.000 0.832 x2